# 1
{"formula": "Os2PtRh", "functional": "meta-GGA SCAN", "state": "single point on PBEsol structure", "lattice_angstrom": [[3.828, 0.000, 0.000], [0.000, 3.828, 0.000], [0.000, 0.000, 7.645]], "species": ["Os", "Os", "Os", "Os", "Pt", "Pt", "Rh", "Rh"], "fractional_positions": [[0.000, 0.000, 0.000], [0.000, 0.500, 0.250], [0.500, 0.000, 0.750], [0.500, 0.500, 0.500], [0.000, 0.500, 0.750], [0.500, 0.000, 0.250], [0.000, 0.000, 0.500], [0.500, 0.500, 0.000]], "spacegroup": "No. 119", "delta_e_f_ev_per_atom": 0.117, "energy_ev_per_atom": -61.81, "polymorph_energy_ev_per_atom": 0.077}



# 2
{"formula": "OsPtRh", "functional": "meta-GGA SCAN", "state": "single point on PBEsol structure", "lattice_angstrom": [[2.710, 0.000, 0.000], [-1.355, 2.347, 0.000], [0.000, 0.000, 6.659]], "species": ["Os", "Pt", "Rh"], "fractional_positions": [[0.000, 0.000, 0.000], [0.333, 0.667, 0.661], [0.667, 0.333, 0.316]], "spacegroup": "No. 156", "delta_e_f_ev_per_atom": 0.050, "energy_ev_per_atom": -58.56, "polymorph_energy_ev_per_atom": 0.040}



Repeat the first record exactly.
{"formula": "Os2PtRh", "functional": "meta-GGA SCAN", "state": "single point on PBEsol structure", "lattice_angstrom": [[3.828, 0.000, 0.000], [0.000, 3.828, 0.000], [0.000, 0.000, 7.645]], "species": ["Os", "Os", "Os", "Os", "Pt", "Pt", "Rh", "Rh"], "fractional_positions": [[0.000, 0.000, 0.000], [0.000, 0.500, 0.250], [0.500, 0.000, 0.750], [0.500, 0.500, 0.500], [0.000, 0.500, 0.750], [0.500, 0.000, 0.250], [0.000, 0.000, 0.500], [0.500, 0.500, 0.000]], "spacegroup": "No. 119", "delta_e_f_ev_per_atom": 0.117, "energy_ev_per_atom": -61.81, "polymorph_energy_ev_per_atom": 0.077}